{"formula": "SrTaCl2", "functional": "PBE-GGA", "state": "relaxed", "dft_energy_ev_per_atom": -4.603, "vol_a3_per_atom": 31.6, "magmom_total_mub_per_atom": 0.6731, "lattice": [[3.3596, 0.0000, 0.0000], [0.0000, 3.3596, 0.0000], [0.0000, 0.0000, 11.2042]], "species": ["Ta", "Cl", "Sr", "Cl"], "fractional_positions": [[0.5000, 0.5000, 0.7500], [0.0000, 0.0000, 0.4013], [0.5000, 0.5000, 0.2500], [0.0000, 0.0000, 0.0987]]}